Record 1
The following is a DFT calculation (PBE) of a geometry-optimized TmUPa2N4 structure.

```
TmUPa2N4
1.0
5.975 0.000 0.000
0.000 3.451 0.000
-1.973 0.000 5.664
Tm U Pa N
1 1 2 4
direct
0.000 0.000 0.000
0.500 0.500 0.000
0.000 0.500 0.500
0.500 0.000 0.500
0.250 0.500 0.243
0.251 0.000 0.760
0.749 0.000 0.240
0.750 0.500 0.757
```

The crystal system is monoclinic. The calculation puts the spin magnetization at 0.94 μB per cell. For the total energy, the calculation gives -10.084 eV per atom. The energy relative to the elements, uncorrected is -12.62 eV/f.u.


Record 2
The following is a DFT calculation (PBE) of a geometry-optimized RbIn3Ir structure.

```
RbIn3Ir
1.0
5.927 0.000 0.000
0.000 5.927 0.000
0.000 0.000 5.927
Rb In Ir
1 3 1
direct
0.000 0.000 0.000
0.000 0.000 0.500
0.000 0.500 0.000
0.500 0.000 0.000
0.500 0.500 0.500
```

The crystal system is cubic. The calculation puts the spin magnetization at 0.00 μB per cell. For the total energy, the calculation gives -1.643 eV per atom. For the energy of formation from the pure elements, the calculation gives 1965 meV per atom. As for the distance to the lowest polymorph of the same formula: 2106 meV/atom.


Record 3
The following is a DFT calculation (PBE) of a geometry-optimized PrThReN4 structure.

```
PrThReN4
1.0
2.746 -6.433 0.000
2.746 6.433 0.000
0.000 0.000 5.514
Pr Th Re N
2 2 2 8
direct
0.101 0.899 0.750
0.899 0.101 0.250
0.396 0.604 0.750
0.604 0.396 0.250
0.247 0.753 0.250
0.753 0.247 0.750
0.000 0.500 0.000
0.000 0.500 0.500
0.083 0.917 0.250
0.426 0.574 0.250
0.500 0.000 0.000
0.500 0.000 0.500
0.574 0.426 0.750
0.917 0.083 0.750
```

The crystal system is orthorhombic. The calculation puts the spin magnetization at 0.00 μB per cell. For the total energy, the calculation gives -9.310 eV per atom. The energy relative to the elements, uncorrected is -7.22 eV/f.u.


Record 4
The following is a DFT calculation (PBE) of a geometry-optimized CsZn2SnIr structure.

```
CsZn2SnIr
1.0
5.137 0.000 0.000
0.000 5.137 0.000
0.000 0.000 5.066
Cs Zn Sn Ir
1 2 1 1
direct
0.000 0.000 0.000
0.000 0.500 0.500
0.500 0.000 0.500
0.500 0.500 0.000
0.500 0.500 0.500
```

The crystal system is tetragonal. The calculation puts the spin magnetization at 0.00 μB per cell. For the total energy, the calculation gives -3.368 eV per atom. For the energy of formation from the pure elements, the calculation gives -114 meV per atom.


Record 5
The following is a DFT calculation (PBE) of a geometry-optimized In3Ir structure.

```
In3Ir
1.0
3.222 0.000 0.000
-1.611 2.791 0.000
0.000 0.000 9.903
In Ir
3 1
direct
0.000 0.000 0.000
0.333 0.667 0.291
0.333 0.667 0.709
0.000 0.000 0.500
```

The crystal system is hexagonal. The calculation puts the spin magnetization at 0.00 μB per cell. For the total energy, the calculation gives -4.134 eV per atom. For the energy of formation from the pure elements, the calculation gives 135 meV per atom.


Record 6
The following is a DFT calculation (PBE) of a geometry-optimized CuSi4Ir structure.

```
CuSi4Ir
1.0
0.000 3.497 3.497
3.497 0.000 3.497
3.497 3.497 0.000
Cu Si Ir
1 4 1
direct
0.000 0.000 0.000
0.375 0.375 0.375
0.375 0.375 0.875
0.375 0.875 0.375
0.875 0.375 0.375
0.750 0.750 0.750
```

The crystal system is cubic. The calculation puts the spin magnetization at 0.00 μB per cell. For the total energy, the calculation gives -5.236 eV per atom. The energy relative to the elements, uncorrected is 3.24 eV/f.u.


Record 7
The following is a DFT calculation (PBE) of a geometry-optimized ZrHgSe2O8 structure.

```
ZrHgSe2O8
1.0
4.582 -2.831 0.000
4.582 2.831 0.000
-0.962 0.000 10.055
Zr Hg Se O
1 1 2 8
direct
0.000 0.000 0.000
0.000 0.000 0.500
0.368 0.368 0.179
0.632 0.632 0.821
0.224 0.224 0.059
0.234 0.707 0.143
0.293 0.766 0.857
0.321 0.321 0.329
0.679 0.679 0.671
0.707 0.234 0.143
0.766 0.293 0.857
0.776 0.776 0.941
```

The crystal system is monoclinic. The calculation puts the spin magnetization at 0.00 μB per cell. For the total energy, the calculation gives -5.779 eV per atom. The energy relative to the elements, uncorrected is -13.86 eV/f.u.


Record 8
The following is a DFT calculation (PBE) of a geometry-optimized BRhOF2 structure.

```
BRhOF2
1.0
4.450 0.000 0.000
0.000 4.450 0.000
0.000 0.000 2.616
B Rh O F
1 1 1 2
direct
0.000 0.000 0.000
0.500 0.500 0.500
0.000 0.000 0.500
0.000 0.500 0.000
0.500 0.000 0.000
```

The crystal system is tetragonal. The calculation puts the spin magnetization at 2.00 μB per cell. For the total energy, the calculation gives -5.482 eV per atom. As for the distance to the lowest polymorph of the same formula: 0 meV/atom. The energy relative to the elements, uncorrected is -4.68 eV/f.u.


Record 9
The following is a DFT calculation (PBE) of a geometry-optimized KSmVS4 structure.

```
KSmVS4
1.0
6.636 0.000 0.000
0.000 6.608 0.000
-2.627 0.000 8.375
K Sm V S
2 2 2 8
direct
0.234 0.250 0.438
0.766 0.750 0.562
0.278 0.250 0.952
0.722 0.750 0.048
0.266 0.750 0.174
0.734 0.250 0.826
0.070 0.750 0.334
0.076 0.750 0.923
0.500 0.001 0.212
0.500 0.499 0.212
0.500 0.501 0.788
0.500 0.999 0.788
0.924 0.250 0.077
0.930 0.250 0.666
```

The crystal system is monoclinic. The calculation puts the spin magnetization at 2.00 μB per cell. For the total energy, the calculation gives -5.868 eV per atom. The energy relative to the elements, uncorrected is -9.63 eV/f.u.


Record 10
The following is a DFT calculation (PBE) of a geometry-optimized Er3CoTe structure.

```
Er3CoTe
1.0
8.086 0.000 0.000
0.000 3.907 0.000
-2.438 0.000 7.981
Er Co Te
6 2 2
direct
0.062 0.250 0.247
0.304 0.250 0.928
0.307 0.750 0.594
0.693 0.250 0.406
0.696 0.750 0.072
0.938 0.750 0.753
0.061 0.250 0.583
0.939 0.750 0.417
0.382 0.750 0.240
0.618 0.250 0.760
```

The crystal system is monoclinic. The calculation puts the spin magnetization at 0.00 μB per cell. For the total energy, the calculation gives -5.436 eV per atom. As for the distance to the lowest polymorph of the same formula: 0 meV/atom. The energy relative to the elements, uncorrected is -3.24 eV/f.u.


Record 11
The following is a DFT calculation (PBE) of a geometry-optimized Tl2AgPdSe2 structure.

```
Tl2AgPdSe2
1.0
-2.990 8.277 3.026
2.990 -8.277 3.026
2.990 8.277 -3.026
Tl Ag Pd Se
4 2 2 4
direct
0.171 0.237 0.408
0.329 0.737 0.066
0.671 0.263 0.934
0.829 0.763 0.592
0.250 0.250 0.000
0.750 0.750 0.000
0.250 0.750 0.500
0.750 0.250 0.500
0.102 0.725 0.827
0.398 0.225 0.623
0.602 0.775 0.377
0.898 0.275 0.173
```

The crystal system is orthorhombic. The calculation puts the spin magnetization at 0.00 μB per cell. For the total energy, the calculation gives -3.504 eV per atom. The energy relative to the elements, uncorrected is -1.28 eV/f.u.


Record 12
The following is a DFT calculation (PBE) of a geometry-optimized KCeGeSe4 structure.

```
KCeGeSe4
1.0
6.961 0.000 0.000
0.000 7.138 0.000
-2.809 0.000 8.714
K Ce Ge Se
2 2 2 8
direct
0.246 0.000 0.438
0.754 0.500 0.562
0.271 0.006 0.947
0.729 0.506 0.053
0.278 0.470 0.177
0.722 0.970 0.823
0.069 0.402 0.923
0.077 0.467 0.343
0.469 0.730 0.772
0.484 0.746 0.210
0.516 0.246 0.790
0.531 0.230 0.228
0.923 0.967 0.657
0.931 0.902 0.077
```

The crystal system is monoclinic. The calculation puts the spin magnetization at 2.01 μB per cell. For the total energy, the calculation gives -4.767 eV per atom. The energy relative to the elements, uncorrected is -7.78 eV/f.u.


> Which of these has the highest total energy?

RbIn3Ir


> Look up the total energy of the first one.

-10.084 eV per atom